No. 1
Computed, not measured: PrCuP2O8 after structural relaxation at the GGA-PBE level of DFT.

It has space group P-3m1 (No. 164), with a = 5.1582 Å, b = 5.1582 Å, c = 6.7512 Å, α = 90.00°, β = 90.00° and γ = 120.00°. The asymmetric unit holds Pr at (0.0000, 0.0000, 0.0000), Cu at (0.0000, 0.0000, 0.5000), P at (0.3333, 0.6667, 0.2400), O at (0.1670, 0.3339, 0.3019) and O at (0.3333, 0.6667, 0.0100).

For the energy relative to the elements, uncorrected, the calculation gives -2.10 eV per atom.



No. 2
Computed, not measured: TaTc2Ru after structural relaxation at the GGA-PBE level of DFT.

It has space group Imm2 (No. 44), with a = 3.118 Å, b = 4.473 Å, c = 8.825 Å, α = 90.00°, β = 90.00° and γ = 90.00°. The asymmetric unit holds Ta at (0.000, 0.000, 0.000), Tc at (0.000, 0.000, 0.492), Tc at (0.000, 0.500, 0.738) and Ru at (0.000, 0.500, 0.259).

The energy above the lowest structure with this stoichiometry comes out at 23.3 meV per atom.



No. 3
Computed, not measured: TaTcIr2 after structural relaxation at the GGA-PBE level of DFT.

It has space group Pmmm (No. 47), with a = 2.802 Å, b = 3.895 Å, c = 5.595 Å, α = 90.00°, β = 90.00° and γ = 90.00°. The asymmetric unit holds Ta at (0.000, 0.000, 0.000), Tc at (0.000, 0.000, 0.500) and Ir at (0.500, 0.500, 0.259).

The energy above the lowest structure with this stoichiometry comes out at 74.0 meV per atom.



No. 4
Computed, not measured: La2SmIn3 after structural relaxation at the GGA-PBE level of DFT.

It has space group P4/mmm (No. 123), with a = 3.894 Å, b = 3.894 Å, c = 11.858 Å, α = 90.00°, β = 90.00° and γ = 90.00°. The asymmetric unit holds La at (0.000, 0.000, 0.171), Sm at (0.000, 0.000, 0.500), In at (0.500, 0.500, 0.000) and In at (0.500, 0.500, 0.344).

The energy above the lowest structure with this stoichiometry comes out at 0.0 meV per atom.



No. 5
Computed, not measured: SrNiAsBr2 after structural relaxation at the GGA-PBE level of DFT.

It has space group P4/mmm (No. 123), with a = 5.148 Å, b = 5.148 Å, c = 4.707 Å, α = 90.00°, β = 90.00° and γ = 90.00°. The asymmetric unit holds Sr at (0.000, 0.000, 0.000), Ni at (0.500, 0.500, 0.500), As at (0.500, 0.500, 0.000) and Br at (0.000, 0.500, 0.500).

For the energy relative to the elements, uncorrected, the calculation gives -0.62 eV per atom.



No. 6
Computed, not measured: Nb2CuTc after structural relaxation at the GGA-PBE level of DFT.

It has space group Immm (No. 71), with a = 2.947 Å, b = 4.569 Å, c = 10.087 Å, α = 90.00°, β = 90.00° and γ = 90.00°. The asymmetric unit holds Nb at (0.000, 0.000, 0.247), Cu at (0.000, 0.000, 0.000) and Tc at (0.000, 0.000, 0.500).



These records have DFT total energy values of -84.502, -83.972, -41.681, -25.846, -18.570, -63.869 eV/cell, in the order they appear.